# PmTmAgPd (GGA-PBE, optimized geometry)
# E above lowest polymorph: 0 meV per atom
# ρ: 9.428 g cm⁻³
# volume: 23.26 A^3/atom
# space-group type: P4mm
# energy relative to the elements: -0.58 eV per atom
# electronic total energy: -4.893 eV/atom
data_PmTmAgPd
_symmetry_space_group_name_H-M 'P 1'
_symmetry_Int_Tables_number 1
_symmetry_space_group_name_Hall 'P 1'
_cell_length_a 3.5732
_cell_length_b 3.5732
_cell_length_c 7.2867
_cell_angle_alpha 90.00
_cell_angle_beta 90.00
_cell_angle_gamma 90.00
loop_
_atom_site_label
_atom_site_type_symbol
_atom_site_fract_x
_atom_site_fract_y
_atom_site_fract_z
_atom_site_occupancy
Pm1 Pm 0.0000 0.0000 0.0000 1
Tm1 Tm 0.0000 0.0000 0.4775 1
Ag1 Ag 0.5000 0.5000 0.7197 1
Pd1 Pd 0.5000 0.5000 0.2614 1